An optimized crystal structure of NdLuB, computed with PBE.

Summary:
Its uncorrected energy is -48.9 eV/cell.

```
data_NdLuB
_chemical_formula_sum 'Nd4 Lu4 B4'
_space_group_name_H-M_alt 'F -4 3 m'
_space_group_IT_number 216
_space_group_name_Hall 'F -4 2 3'
_cell_length_a 6.5701
_cell_length_b 6.5701
_cell_length_c 6.5701
_cell_angle_alpha 90.00
_cell_angle_beta 90.00
_cell_angle_gamma 90.00
loop_
_atom_site_label
_atom_site_fract_x
_atom_site_fract_y
_atom_site_fract_z
Nd1 0.0000 0.0000 0.0000
Lu1 0.2500 0.2500 0.2500
B1 0.2500 0.2500 0.7500
```

=====

An optimized crystal structure of LaZr2Si2, computed with PBE.

Summary:
Its uncorrected energy is -72.0 eV/cell.

```
data_LaZr2Si2
_chemical_formula_sum 'La2 Zr4 Si4'
_space_group_name_H-M_alt 'P 4/m b m'
_space_group_IT_number 127
_space_group_name_Hall '-P 4 2ab'
_cell_length_a 7.6149
_cell_length_b 7.6149
_cell_length_c 3.5832
_cell_angle_alpha 90.00
_cell_angle_beta 90.00
_cell_angle_gamma 90.00
loop_
_atom_site_label
_atom_site_fract_x
_atom_site_fract_y
_atom_site_fract_z
La1 0.0000 0.0000 0.0000
Zr1 0.1709 0.3291 0.5000
Si1 0.1157 0.6157 0.0000
```

=====

An optimized crystal structure of Ni9Pb, computed with PBE.

Summary:
As for the energy above the lowest structure with this stoichiometry: 131.2 meV/atom.

```
data_Ni9Pb
_chemical_formula_sum 'Ni18 Pb2'
_space_group_name_H-M_alt 'P 4/n m m'
_space_group_IT_number 129
_cell_length_a 2.6258
_cell_length_b 2.6258
_cell_length_c 44.1430
_cell_angle_alpha 90.00
_cell_angle_beta 90.00
_cell_angle_gamma 90.00
loop_
_space_group_symop_operation_xyz
'x,y,z'
'-x,-y,-z'
'-y+1/2,x,z'
'y+1/2,-x,-z'
'-x+1/2,-y+1/2,z'
'x+1/2,y+1/2,-z'
'y,-x+1/2,z'
'-y,x+1/2,-z'
'x+1/2,-y,-z'
'-x+1/2,y,z'
'-y,-x,-z'
'y,x,z'
'-x,y+1/2,-z'
'x,-y+1/2,z'
'y+1/2,x+1/2,-z'
'-y+1/2,-x+1/2,z'
loop_
_atom_site_label
_atom_site_fract_x
_atom_site_fract_y
_atom_site_fract_z
Ni1 0.2500 0.2500 0.0180
Ni2 0.2500 0.2500 0.0901
Ni3 0.2500 0.2500 0.1619
Ni4 0.2500 0.2500 0.2333
Ni5 0.2500 0.2500 0.3056
Ni6 0.2500 0.2500 0.7308
Ni7 0.2500 0.2500 0.8023
Ni8 0.2500 0.2500 0.8740
Ni9 0.2500 0.2500 0.9459
Pb1 0.2500 0.2500 0.6442
```

=====

An optimized crystal structure of Ba2ZnCoH6, computed with PBE.

Summary:
Its uncorrected energy is -142.2 eV/cell.

```
data_Ba2ZnCoH6
_chemical_formula_sum 'Ba8 Zn4 Co4 H24'
_space_group_name_H-M_alt 'F m -3 m'
_space_group_IT_number 225
_space_group_name_Hall '-F 4 2 3'
_cell_length_a 7.9645
_cell_length_b 7.9645
_cell_length_c 7.9645
_cell_angle_alpha 90.00
_cell_angle_beta 90.00
_cell_angle_gamma 90.00
loop_
_atom_site_label
_atom_site_fract_x
_atom_site_fract_y
_atom_site_fract_z
Ba1 0.2500 0.2500 0.2500
Zn1 0.0000 0.0000 0.0000
Co1 0.0000 0.0000 0.5000
H1 0.0000 0.0000 0.2949
```

=====

Question: Which formula does entry 2 have?
Answer: LaZr2Si2